(1)
First-principles (GGA-PBE) data for crystalline Ca3Cu9Si2 at its relaxed geometry, as listed in Alexandria via LeMat-Bulk.

The structure belongs to space group Immm (No. 71); the cell edges are 4.1155, 9.5711 and 12.0867 Å and the angles 90.00°, 90.00° and 90.00°. Symmetry generates all atoms from Ca at (0.0000, 0.0000, 0.0000), Ca at (0.0000, 0.0000, 0.3096), Cu at (0.0000, 0.2824, 0.1059), Cu at (0.0000, 0.3126, 0.3092), Cu at (0.0000, 0.5000, 0.0000) and Si at (0.0000, 0.2375, 0.5000).

The total energy is -3.999 eV/atom. For the formation energy from raw total energies, the calculation gives -219 kJ/mol of formula units.

=====

(2)
First-principles (GGA-PBE) data for crystalline Ba4PbW at its relaxed geometry, as listed in Alexandria via LeMat-Bulk.

The structure belongs to space group F-43m (No. 216); the cell edges are 10.0193, 10.0193 and 10.0193 Å and the angles 90.00°, 90.00° and 90.00°. Symmetry generates all atoms from Ba at (0.1248, 0.1248, 0.1248), Pb at (0.2500, 0.2500, 0.7500) and W at (0.0000, 0.0000, 0.5000).

The total energy is -2.959 eV/atom.

=====

(3)
First-principles (GGA-PBE) data for crystalline LaGdZnHg at its relaxed geometry, as listed in Alexandria via LeMat-Bulk.

The structure belongs to space group F-43m (No. 216); the cell edges are 7.5446, 7.5446 and 7.5446 Å and the angles 90.00°, 90.00° and 90.00°. Symmetry generates all atoms from La at (0.0000, 0.0000, 0.0000), Gd at (0.0000, 0.0000, 0.5000), Zn at (0.2500, 0.2500, 0.2500) and Hg at (0.2500, 0.2500, 0.7500).

The total energy is -5.544 eV/atom.

=====

(4)
First-principles (GGA-PBE) data for crystalline ScSi2Os at its relaxed geometry, as listed in Alexandria via LeMat-Bulk.

The structure belongs to space group C2/m (No. 12); the cell edges are 5.5476, 5.5365 and 3.8499 Å and the angles 90.00°, 90.14° and 90.00°. Symmetry generates all atoms from Sc at (0.0000, 0.0000, 0.0000), Si at (0.2500, 0.2500, 0.5000) and Os at (0.0000, 0.5000, 0.0000).

The total energy is -7.386 eV/atom. For the formation energy from raw total energies, the calculation gives -110 kJ/mol of formula units.

=====

(5)
First-principles (GGA-PBE) data for crystalline Ac6Pd2PtAu at its relaxed geometry, as listed in Alexandria via LeMat-Bulk.

The structure belongs to space group R3 (No. 146, hexagonal axes); the cell edges are 7.7696, 7.7696 and 21.2114 Å and the angles 90.00°, 90.00° and 120.00°. Symmetry generates all atoms from Ac at (0.0025, 0.3254, 0.0000), Ac at (0.0313, 0.6842, 0.1655), Pd at (0.0000, 0.0000, 0.0852), Pd at (0.0000, 0.0000, 0.5908), Pt at (0.0000, 0.0000, 0.4095) and Au at (0.0000, 0.0000, 0.9055).

The total energy is -5.115 eV/atom.

=====

(6)
First-principles (GGA-PBE) data for crystalline Os2RhBr at its relaxed geometry, as listed in Alexandria via LeMat-Bulk.

The structure belongs to space group Pmmm (No. 47); the cell edges are 2.8577, 3.6458 and 6.3554 Å and the angles 90.00°, 90.00° and 90.00°. Symmetry generates all atoms from Os at (0.0000, 0.0000, 0.2038), Rh at (0.5000, 0.5000, 0.0000) and Br at (0.5000, 0.5000, 0.5000).

The total energy is -6.784 eV/atom. For the formation energy from raw total energies, the calculation gives 419 kJ/mol of formula units.

=====

(7)
First-principles (GGA-PBE) data for crystalline LiSmPd2 at its relaxed geometry, as listed in Alexandria via LeMat-Bulk.

The structure belongs to space group R-3m (No. 166, hexagonal axes); the cell edges are 4.3666, 4.3666 and 14.1095 Å and the angles 90.00°, 90.00° and 120.00°. Symmetry generates all atoms from Li at (0.0000, 0.0000, 0.0000), Sm at (0.0000, 0.0000, 0.5000) and Pd at (0.0000, 0.0000, 0.2831).

The total energy is -4.888 eV/atom.

=====

(8)
First-principles (GGA-PBE) data for crystalline RbYCr2H at its relaxed geometry, as listed in Alexandria via LeMat-Bulk.

The structure belongs to space group P4/mmm (No. 123); the cell edges are 5.7187, 5.7187 and 6.3890 Å and the angles 90.00°, 90.00° and 90.00°. Symmetry generates all atoms from Rb at (0.0000, 0.0000, 0.0000), Y at (0.0000, 0.0000, 0.5000), Cr at (0.0000, 0.5000, 0.0000) and H at (0.5000, 0.5000, 0.5000).

The total energy is -3.496 eV/atom.

=====

(9)
First-principles (GGA-PBE) data for crystalline Er4CdC at its relaxed geometry, as listed in Alexandria via LeMat-Bulk.

The structure belongs to space group C2/c (No. 15); the cell edges are 8.4605, 13.7109 and 6.0926 Å and the angles 90.00°, 118.60° and 90.00°. Symmetry generates all atoms from Er at (0.1367, 0.2015, 0.1431), Er at (0.2053, 0.0500, 0.6829), Cd at (0.0000, 0.3870, 0.7500) and C at (0.0000, 0.0718, 0.2500).

The total energy is -4.858 eV/atom.

=====

(10)
First-principles (GGA-PBE) data for crystalline Nd2Dy3Pt2 at its relaxed geometry, as listed in Alexandria via LeMat-Bulk.

The structure belongs to space group C2/m (No. 12); the cell edges are 12.5319, 3.7851 and 9.1518 Å and the angles 90.00°, 117.14° and 90.00°. Symmetry generates all atoms from Nd at (0.1609, 0.0000, 0.3118), Dy at (0.0000, 0.5000, 0.5000), Dy at (0.1164, 0.5000, 0.9360) and Pt at (0.1677, 0.0000, 0.7412).

The total energy is -5.829 eV/atom.

=====

(11)
First-principles (GGA-PBE) data for crystalline Na3Sr3Pb2 at its relaxed geometry, as listed in Alexandria via LeMat-Bulk.

The structure belongs to space group R3m (No. 160, hexagonal axes); the cell edges are 5.8025, 5.8025 and 28.5660 Å and the angles 90.00°, 90.00° and 120.00°. Symmetry generates all atoms from Na at (0.0000, 0.0000, 0.0000), Na at (0.0000, 0.0000, 0.1183), Na at (0.0000, 0.0000, 0.4871), Sr at (0.0000, 0.0000, 0.3683), Sr at (0.0000, 0.0000, 0.6157), Sr at (0.0000, 0.0000, 0.8650), Pb at (0.0000, 0.0000, 0.2408) and Pb at (0.0000, 0.0000, 0.7417).

The total energy is -2.365 eV/atom.

=====

(12)
First-principles (GGA-PBE) data for crystalline CeEuGaSn at its relaxed geometry, as listed in Alexandria via LeMat-Bulk.

The structure belongs to space group F-43m (No. 216); the cell edges are 7.6081, 7.6081 and 7.6081 Å and the angles 90.00°, 90.00° and 90.00°. Symmetry generates all atoms from Ce at (0.0000, 0.0000, 0.0000), Eu at (0.0000, 0.0000, 0.5000), Ga at (0.2500, 0.2500, 0.7500) and Sn at (0.2500, 0.2500, 0.2500).

The total energy is -6.304 eV/atom.

=====

(13)
First-principles (GGA-PBE) data for crystalline TmInNiIr at its relaxed geometry, as listed in Alexandria via LeMat-Bulk.

The structure belongs to space group F-43m (No. 216); the cell edges are 6.5668, 6.5668 and 6.5668 Å and the angles 90.00°, 90.00° and 90.00°. Symmetry generates all atoms from Tm at (0.0000, 0.0000, 0.0000), In at (0.0000, 0.0000, 0.5000), Ni at (0.2500, 0.2500, 0.2500) and Ir at (0.2500, 0.2500, 0.7500).

The total energy is -5.948 eV/atom.

=====

(14)
First-principles (GGA-PBE) data for crystalline CePaRh at its relaxed geometry, as listed in Alexandria via LeMat-Bulk.

The structure belongs to space group I4mm (No. 107); the cell edges are 3.5985, 3.5985 and 10.5343 Å and the angles 90.00°, 90.00° and 90.00°. Symmetry generates all atoms from Ce at (0.0000, 0.0000, 0.0000), Pa at (0.0000, 0.0000, 0.3000) and Rh at (0.0000, 0.0000, 0.6824).

The total energy is -8.026 eV/atom.

=====

(15)
First-principles (GGA-PBE) data for crystalline Ac2PuP3Pd4 at its relaxed geometry, as listed in Alexandria via LeMat-Bulk.

The structure belongs to space group P-4m2 (No. 115); the cell edges are 4.2645, 4.2645 and 11.4619 Å and the angles 90.00°, 90.00° and 90.00°. Symmetry generates all atoms from Ac at (0.0000, 0.5000, 0.2195), Pu at (0.0000, 0.0000, 0.5000), P at (0.0000, 0.5000, 0.8797), P at (0.5000, 0.5000, 0.5000), Pd at (0.0000, 0.0000, 0.0000), Pd at (0.0000, 0.5000, 0.6679) and Pd at (0.5000, 0.5000, 0.0000).

The total energy is -6.824 eV/atom.

=====

(16)
First-principles (GGA-PBE) data for crystalline NaLi2TmBr6 at its relaxed geometry, as listed in Alexandria via LeMat-Bulk.

The structure belongs to space group R3 (No. 146, hexagonal axes); the cell edges are 7.0572, 7.0572 and 19.4845 Å and the angles 90.00°, 90.00° and 120.00°. Symmetry generates all atoms from Na at (0.0000, 0.0000, 0.0000), Li at (0.0000, 0.0000, 0.3000), Li at (0.0000, 0.0000, 0.8055), Tm at (0.0000, 0.0000, 0.4902), Br at (0.0004, 0.3251, 0.8959) and Br at (0.0134, 0.6355, 0.0664).

The total energy is -3.622 eV/atom. For the formation energy from raw total energies, the calculation gives -1598 kJ/mol of formula units.

=====

(17)
First-principles (GGA-PBE) data for crystalline YZr2Br at its relaxed geometry, as listed in Alexandria via LeMat-Bulk.

The structure belongs to space group I-4m2 (No. 119); the cell edges are 4.5333, 4.5333 and 9.5463 Å and the angles 90.00°, 90.00° and 90.00°. Symmetry generates all atoms from Y at (0.0000, 0.0000, 0.0000), Zr at (0.0000, 0.0000, 0.5000), Zr at (0.0000, 0.5000, 0.7500) and Br at (0.0000, 0.5000, 0.2500).

The total energy is -6.109 eV/atom. For the formation energy from raw total energies, the calculation gives 77 kJ/mol of formula units.